A relaxed structure of Pr2AlAg2, computed with PBE.

The electronic total energy comes out at -4.09 eV per atom. For the excess energy over the best structure of this formula in the dataset, the calculation gives 0.000 eV per atom.

The space group is C2/m (No. 12) and the conventional cell measures 11.109, 4.593 and 11.304 Å, with angles of 90.00, 117.65 and 90.00 degrees. The distinct sites, in fractional coordinates, are Pr at (0.011, 0.000, 0.338), Pr at (0.197, 0.000, 0.111), Al at (0.225, 0.500, 0.351), Ag at (0.011, 0.500, 0.880) and Ag at (0.148, 0.500, 0.563).


A relaxed structure of Er2NpCd, computed with PBE.

The electronic total energy comes out at -5.62 eV per atom.

The space group is P4/mmm (No. 123) and the conventional cell measures 3.359, 3.359 and 9.315 Å, with angles of 90.00, 90.00 and 90.00 degrees. The distinct sites, in fractional coordinates, are Er at (0.000, 0.000, 0.240), Np at (0.500, 0.500, 0.500) and Cd at (0.500, 0.500, 0.000).


A relaxed structure of Zn2TeRh, computed with PBE.

The electronic total energy comes out at -2.89 eV per atom. As for the energy relative to the elements, uncorrected: 370 meV/atom.

The space group is I-42d (No. 122) and the conventional cell measures 6.493, 6.493 and 9.165 Å, with angles of 90.00, 90.00 and 90.00 degrees. The distinct sites, in fractional coordinates, are Zn at (0.223, 0.250, 0.125), Te at (0.000, 0.000, 0.500) and Rh at (0.000, 0.000, 0.000).


A relaxed structure of In2AgPd2, computed with PBE.

The electronic total energy comes out at -4.11 eV per atom. For the excess energy over the best structure of this formula in the dataset, the calculation gives 0.000 eV per atom.

The space group is P4/mbm (No. 127) and the conventional cell measures 7.618, 7.618 and 3.238 Å, with angles of 90.00, 90.00 and 90.00 degrees. The distinct sites, in fractional coordinates, are In at (0.162, 0.338, 0.000), Ag at (0.000, 0.000, 0.500) and Pd at (0.137, 0.637, 0.500).


A relaxed structure of BaBeSe2, computed with PBE.

The electronic total energy comes out at -3.84 eV per atom. As for the energy relative to the elements, uncorrected: -682 meV/atom.

The space group is Imm2 (No. 44) and the conventional cell measures 3.638, 4.142 and 13.795 Å, with angles of 90.00, 90.00 and 90.00 degrees. The distinct sites, in fractional coordinates, are Ba at (0.000, 0.000, 0.000), Be at (0.000, 0.500, 0.764), Se at (0.000, 0.000, 0.369) and Se at (0.000, 0.500, 0.173).


A relaxed structure of CaEr4TmSe8, computed with PBE.

The electronic total energy comes out at -5.54 eV per atom. As for the energy relative to the elements, uncorrected: -1783 meV/atom.

The space group is R3m (No. 160, hexagonal axes) and the conventional cell measures 8.3896, 8.3896 and 20.5349 Å, with angles of 90.00, 90.00 and 120.00 degrees. The distinct sites, in fractional coordinates, are Ca at (0.0000, 0.0000, 0.0000), Er at (0.0000, 0.0000, 0.2499), Er at (0.1695, 0.3389, 0.4576), Tm at (0.0000, 0.0000, 0.6272), Se at (0.0000, 0.0000, 0.3827), Se at (0.0000, 0.0000, 0.8646), Se at (0.0281, 0.5141, 0.3781) and Se at (0.1776, 0.3551, 0.2061).